# NdHo2Hg2

A geometry-optimized NdHo2Hg2 structure (PBE-GGA, the Alexandria database).

It has space group P-3m1 (No. 164), with a = 5.2094 Å, b = 5.2094 Å, c = 6.3956 Å, α = 90.00°, β = 90.00° and γ = 120.00°. The distinct sites, in fractional coordinates, are Nd at (0.0000, 0.0000, 0.0000), Ho at (0.3333, 0.6667, 0.6586) and Hg at (0.3333, 0.6667, 0.1848).

The energy is -3.129 eV per atom. As for the magnetic moment: 0.35 μB/cell. Its volume is 150 Å³ per cell. Its formation energy is -0.224 eV/atom. The calculation puts the calculated density at 9.67 g/cm³. The calculation puts the energy above the most stable polymorph in this dataset at 161 meV/atom.


# Nd2Dy2Bi2C

A geometry-optimized Nd2Dy2Bi2C structure (PBE-GGA, the Alexandria database).

It has space group I4/mmm (No. 139), with a = 4.864 Å, b = 4.864 Å, c = 16.574 Å, α = 90.00°, β = 90.00° and γ = 90.00°. The distinct sites, in fractional coordinates, are Nd at (0.000, 0.000, 0.158), Dy at (0.000, 0.500, 0.000), Bi at (0.000, 0.000, 0.361) and C at (0.000, 0.000, 0.000).

The energy is -5.794 eV per atom. As for the magnetic moment: 0.00 μB/cell. Its volume is 392 Å³ per cell. Its formation energy is -0.691 eV/atom. The calculation puts the calculated density at 8.84 g/cm³.


# SrScSb2I

A geometry-optimized SrScSb2I structure (PBE-GGA, the Alexandria database).

It has space group P4/mmm (No. 123), with a = 5.462 Å, b = 5.462 Å, c = 6.025 Å, α = 90.00°, β = 90.00° and γ = 90.00°. The distinct sites, in fractional coordinates, are Sr at (0.000, 0.000, 0.000), Sc at (0.500, 0.500, 0.500), Sb at (0.000, 0.500, 0.500) and I at (0.500, 0.500, 0.000).

The energy is -4.194 eV per atom. As for the magnetic moment: 0.00 μB/cell. Its volume is 180 Å³ per cell. The calculation puts the calculated density at 4.65 g/cm³. The calculation puts the energy above the most stable polymorph in this dataset at 0 meV/atom.